ScTcP2S: relaxed, PBE.

total DFT energy (no corrections)	-5.553	eV/atom
crystal system	tetragonal
DOS at the Fermi energy	0.78	states/eV/atom
M_tot	3.25	μB per cell
theoretical density	3.40	g/cm³
formation energy without anion corrections	0.776	eV per atom
SG	P4/mmm

Cell and atoms, written as CIF:
```
data_ScTcP2S
_chemical_formula_sum 'Sc1 Tc1 P2 S1'
_cell_length_a 4.9223
_cell_length_b 4.9223
_cell_length_c 4.7725
_cell_angle_alpha 90.00
_cell_angle_beta 90.00
_cell_angle_gamma 90.00
_space_group_name_H-M_alt 'P 1'
_space_group_IT_number 1
loop_
_space_group_symop_operation_xyz
'x,y,z'
loop_
_atom_site_label
_atom_site_type_symbol
_atom_site_fract_x
_atom_site_fract_y
_atom_site_fract_z
_atom_site_occupancy
Sc1 Sc 0.0000 0.0000 0.0000 1
Tc1 Tc 0.5000 0.5000 0.5000 1
P1 P 0.0000 0.5000 0.0000 1
P2 P 0.5000 0.0000 0.0000 1
S1 S 0.0000 0.0000 0.5000 1
```

ScTcP2S: relaxed, PBE.

total DFT energy (no corrections)	-6.307	eV/atom
crystal system	tetragonal
DOS at the Fermi energy	0.75	states/eV/atom
M_tot	0.00	μB per cell
theoretical density	3.87	g/cm³
formation energy without anion corrections	0.022	eV per atom
SG	P4/mmm

Cell and atoms, written as CIF:
```
data_ScTcP2S
_chemical_formula_sum 'Sc1 Tc1 P2 S1'
_cell_length_a 4.4527
_cell_length_b 4.4527
_cell_length_c 5.1253
_cell_angle_alpha 90.00
_cell_angle_beta 90.00
_cell_angle_gamma 90.00
_space_group_name_H-M_alt 'P 1'
_space_group_IT_number 1
loop_
_space_group_symop_operation_xyz
'x,y,z'
loop_
_atom_site_label
_atom_site_type_symbol
_atom_site_fract_x
_atom_site_fract_y
_atom_site_fract_z
_atom_site_occupancy
Sc1 Sc 0.0000 0.0000 0.0000 1
Tc1 Tc 0.5000 0.5000 0.5000 1
P1 P 0.0000 0.5000 0.5000 1
P2 P 0.5000 0.0000 0.5000 1
S1 S 0.5000 0.5000 0.0000 1
```

Sc6TeP3S2: relaxed, PBE.

total DFT energy (no corrections)	-7.057	eV/atom
crystal system	monoclinic
DOS at the Fermi energy	0.41	states/eV/atom
M_tot	0.00	μB per cell
theoretical density	3.92	g/cm³
formation energy without anion corrections	-1.589	eV per atom
SG	C2/m

Cell and atoms, written as CIF:
```
data_Sc6TeP3S2
_chemical_formula_sum 'Sc6 Te1 P3 S2'
_cell_length_a 8.5382
_cell_length_b 8.5382
_cell_length_c 7.6768
_cell_angle_alpha 103.69
_cell_angle_beta 103.69
_cell_angle_gamma 25.65
_space_group_name_H-M_alt 'P 1'
_space_group_IT_number 1
loop_
_space_group_symop_operation_xyz
'x,y,z'
loop_
_atom_site_label
_atom_site_type_symbol
_atom_site_fract_x
_atom_site_fract_y
_atom_site_fract_z
_atom_site_occupancy
Sc1 Sc 0.0006 0.0006 0.2212 1
Sc2 Sc 0.3216 0.3216 0.4179 1
Sc3 Sc 0.3347 0.3347 0.9105 1
Sc4 Sc 0.6653 0.6653 0.0895 1
Sc5 Sc 0.6784 0.6784 0.5821 1
Sc6 Sc 0.9994 0.9994 0.7788 1
Te1 Te 0.5000 0.5000 0.5000 1
P1 P 0.1637 0.1637 0.3311 1
P2 P 0.5000 0.5000 0.0000 1
P3 P 0.8363 0.8363 0.6689 1
S1 S 0.1686 0.1686 0.8350 1
S2 S 0.8314 0.8314 0.1650 1
```

ScTePS2: relaxed, PBE.

total DFT energy (no corrections)	-4.276	eV/atom
crystal system	tetragonal
DOS at the Fermi energy	0.60	states/eV/atom
M_tot	0.00	μB per cell
theoretical density	3.58	g/cm³
formation energy without anion corrections	0.352	eV per atom
SG	P4/mmm

Cell and atoms, written as CIF:
```
data_ScTePS2
_chemical_formula_sum 'Sc1 Te1 P1 S2'
_cell_length_a 4.9769
_cell_length_b 4.9769
_cell_length_c 5.0066
_cell_angle_alpha 90.00
_cell_angle_beta 90.00
_cell_angle_gamma 90.00
_space_group_name_H-M_alt 'P 1'
_space_group_IT_number 1
loop_
_space_group_symop_operation_xyz
'x,y,z'
loop_
_atom_site_label
_atom_site_type_symbol
_atom_site_fract_x
_atom_site_fract_y
_atom_site_fract_z
_atom_site_occupancy
Sc1 Sc 0.0000 0.0000 0.0000 1
Te1 Te 0.5000 0.5000 0.5000 1
P1 P 0.5000 0.5000 0.0000 1
S1 S 0.0000 0.5000 0.5000 1
S2 S 0.5000 0.0000 0.5000 1
```

ScTeP2S: relaxed, PBE.

total DFT energy (no corrections)	-4.611	eV/atom
crystal system	tetragonal
DOS at the Fermi energy	1.12	states/eV/atom
M_tot	0.00	μB per cell
theoretical density	3.64	g/cm³
formation energy without anion corrections	0.273	eV per atom
SG	P4/mmm

Cell and atoms, written as CIF:
```
data_ScTeP2S
_chemical_formula_sum 'Sc1 Te1 P2 S1'
_cell_length_a 5.0832
_cell_length_b 5.0832
_cell_length_c 4.7094
_cell_angle_alpha 90.00
_cell_angle_beta 90.00
_cell_angle_gamma 90.00
_space_group_name_H-M_alt 'P 1'
_space_group_IT_number 1
loop_
_space_group_symop_operation_xyz
'x,y,z'
loop_
_atom_site_label
_atom_site_type_symbol
_atom_site_fract_x
_atom_site_fract_y
_atom_site_fract_z
_atom_site_occupancy
Sc1 Sc 0.0000 0.0000 0.0000 1
Te1 Te 0.5000 0.5000 0.5000 1
P1 P 0.0000 0.5000 0.0000 1
P2 P 0.5000 0.0000 0.0000 1
S1 S 0.0000 0.0000 0.5000 1
```

ScTeP2S: relaxed, PBE.

total DFT energy (no corrections)	-4.302	eV/atom
crystal system	tetragonal
DOS at the Fermi energy	0.39	states/eV/atom
M_tot	0.00	μB per cell
theoretical density	3.62	g/cm³
formation energy without anion corrections	0.582	eV per atom
SG	P4/mmm

Cell and atoms, written as CIF:
```
data_ScTeP2S
_chemical_formula_sum 'Sc1 Te1 P2 S1'
_cell_length_a 4.9616
_cell_length_b 4.9616
_cell_length_c 4.9704
_cell_angle_alpha 90.00
_cell_angle_beta 90.00
_cell_angle_gamma 90.00
_space_group_name_H-M_alt 'P 1'
_space_group_IT_number 1
loop_
_space_group_symop_operation_xyz
'x,y,z'
loop_
_atom_site_label
_atom_site_type_symbol
_atom_site_fract_x
_atom_site_fract_y
_atom_site_fract_z
_atom_site_occupancy
Sc1 Sc 0.0000 0.0000 0.0000 1
Te1 Te 0.5000 0.5000 0.5000 1
P1 P 0.0000 0.5000 0.5000 1
P2 P 0.5000 0.0000 0.5000 1
S1 S 0.5000 0.5000 0.0000 1
```

ScTePS2: relaxed, PBE.

total DFT energy (no corrections)	-4.619	eV/atom
crystal system	tetragonal
DOS at the Fermi energy	1.22	states/eV/atom
M_tot	0.00	μB per cell
theoretical density	3.67	g/cm³
formation energy without anion corrections	0.008	eV per atom
SG	P4/mmm

Cell and atoms, written as CIF:
```
data_ScTePS2
_chemical_formula_sum 'Sc1 Te1 P1 S2'
_cell_length_a 4.8182
_cell_length_b 4.8182
_cell_length_c 5.2130
_cell_angle_alpha 90.00
_cell_angle_beta 90.00
_cell_angle_gamma 90.00
_space_group_name_H-M_alt 'P 1'
_space_group_IT_number 1
loop_
_space_group_symop_operation_xyz
'x,y,z'
loop_
_atom_site_label
_atom_site_type_symbol
_atom_site_fract_x
_atom_site_fract_y
_atom_site_fract_z
_atom_site_occupancy
Sc1 Sc 0.0000 0.0000 0.0000 1
Te1 Te 0.5000 0.5000 0.5000 1
P1 P 0.0000 0.0000 0.5000 1
S1 S 0.0000 0.5000 0.0000 1
S2 S 0.5000 0.0000 0.0000 1
```

Sc8Te4PS3: relaxed, PBE.

total DFT energy (no corrections)	-6.552	eV/atom
crystal system	trigonal
DOS at the Fermi energy	0.39	states/eV/atom
M_tot	0.00	μB per cell
theoretical density	4.81	g/cm³
formation energy without anion corrections	-1.489	eV per atom
SG	R-3m

Cell and atoms, written as CIF:
```
data_Sc8Te4PS3
_chemical_formula_sum 'Sc8 Te4 P1 S3'
_cell_length_a 7.9751
_cell_length_b 7.9751
_cell_length_c 7.9751
_cell_angle_alpha 58.27
_cell_angle_beta 58.27
_cell_angle_gamma 58.27
_space_group_name_H-M_alt 'P 1'
_space_group_IT_number 1
loop_
_space_group_symop_operation_xyz
'x,y,z'
loop_
_atom_site_label
_atom_site_type_symbol
_atom_site_fract_x
_atom_site_fract_y
_atom_site_fract_z
_atom_site_occupancy
Sc1 Sc 0.2330 0.2330 0.2330 1
Sc2 Sc 0.2366 0.7317 0.7317 1
Sc3 Sc 0.2683 0.2683 0.7634 1
Sc4 Sc 0.2683 0.7634 0.2683 1
Sc5 Sc 0.7317 0.2366 0.7317 1
Sc6 Sc 0.7317 0.7317 0.2366 1
Sc7 Sc 0.7634 0.2683 0.2683 1
Sc8 Sc 0.7670 0.7670 0.7670 1
Te1 Te 0.0000 0.0000 0.0000 1
Te2 Te 0.0000 0.5000 0.5000 1
Te3 Te 0.5000 0.0000 0.5000 1
Te4 Te 0.5000 0.5000 0.0000 1
P1 P 0.5000 0.5000 0.5000 1
S1 S 0.0000 0.0000 0.5000 1
S2 S 0.0000 0.5000 0.0000 1
S3 S 0.5000 0.0000 0.0000 1
```

ThScPS: relaxed, PBE.

total DFT energy (no corrections)	-7.398	eV/atom
crystal system	trigonal
DOS at the Fermi energy	0.36	states/eV/atom
M_tot	0.00	μB per cell
theoretical density	6.43	g/cm³
formation energy without anion corrections	-1.576	eV per atom
SG	R3m

Cell and atoms, written as CIF:
```
data_ThScPS
_chemical_formula_sum 'Th1 Sc1 P1 S1'
_cell_length_a 7.2068
_cell_length_b 7.2068
_cell_length_c 7.2068
_cell_angle_alpha 30.95
_cell_angle_beta 30.95
_cell_angle_gamma 30.95
_space_group_name_H-M_alt 'P 1'
_space_group_IT_number 1
loop_
_space_group_symop_operation_xyz
'x,y,z'
loop_
_atom_site_label
_atom_site_type_symbol
_atom_site_fract_x
_atom_site_fract_y
_atom_site_fract_z
_atom_site_occupancy
Th1 Th 0.0000 0.0000 0.0000 1
Sc1 Sc 0.1816 0.1816 0.1816 1
P1 P 0.5822 0.5822 0.5822 1
S1 S 0.4288 0.4288 0.4288 1
```

ScTlP2S8: relaxed, PBE.

total DFT energy (no corrections)	-4.775	eV/atom
crystal system	trigonal
DOS at the Fermi energy	0.75	states/eV/atom
M_tot	2.06	μB per cell
theoretical density	3.29	g/cm³
formation energy without anion corrections	-0.397	eV per atom
SG	R-3

Cell and atoms, written as CIF:
```
data_ScTlP2S8
_chemical_formula_sum 'Sc1 Tl1 P2 S8'
_cell_length_a 9.6491
_cell_length_b 9.6491
_cell_length_c 9.6491
_cell_angle_alpha 36.67
_cell_angle_beta 36.67
_cell_angle_gamma 36.67
_space_group_name_H-M_alt 'P 1'
_space_group_IT_number 1
loop_
_space_group_symop_operation_xyz
'x,y,z'
loop_
_atom_site_label
_atom_site_type_symbol
_atom_site_fract_x
_atom_site_fract_y
_atom_site_fract_z
_atom_site_occupancy
Sc1 Sc 0.0000 0.0000 0.0000 1
Tl1 Tl 0.5000 0.5000 0.5000 1
P1 P 0.2572 0.2572 0.2572 1
P2 P 0.7428 0.7428 0.7428 1
S1 S 0.0574 0.4076 0.6996 1
S2 S 0.1819 0.1819 0.1819 1
S3 S 0.3004 0.9426 0.5924 1
S4 S 0.4076 0.6996 0.0574 1
S5 S 0.5924 0.3004 0.9426 1
S6 S 0.6996 0.0574 0.4076 1
S7 S 0.8181 0.8181 0.8181 1
S8 S 0.9426 0.5924 0.3004 1
```

ScTlPS2: relaxed, PBE.

total DFT energy (no corrections)	-4.805	eV/atom
crystal system	tetragonal
DOS at the Fermi energy	0.72	states/eV/atom
M_tot	1.09	μB per cell
theoretical density	4.48	g/cm³
formation energy without anion corrections	-0.332	eV per atom
SG	P4/mmm

Cell and atoms, written as CIF:
```
data_ScTlPS2
_chemical_formula_sum 'Sc1 Tl1 P1 S2'
_cell_length_a 4.9822
_cell_length_b 4.9822
_cell_length_c 5.1398
_cell_angle_alpha 90.00
_cell_angle_beta 90.00
_cell_angle_gamma 90.00
_space_group_name_H-M_alt 'P 1'
_space_group_IT_number 1
loop_
_space_group_symop_operation_xyz
'x,y,z'
loop_
_atom_site_label
_atom_site_type_symbol
_atom_site_fract_x
_atom_site_fract_y
_atom_site_fract_z
_atom_site_occupancy
Sc1 Sc 0.0000 0.0000 0.0000 1
Tl1 Tl 0.5000 0.5000 0.5000 1
P1 P 0.0000 0.0000 0.5000 1
S1 S 0.0000 0.5000 0.0000 1
S2 S 0.5000 0.0000 0.0000 1
```

ScTlPS2: relaxed, PBE.

total DFT energy (no corrections)	-3.959	eV/atom
crystal system	tetragonal
DOS at the Fermi energy	0.60	states/eV/atom
M_tot	0.00	μB per cell
theoretical density	4.52	g/cm³
formation energy without anion corrections	0.514	eV per atom
SG	P4/mmm

Cell and atoms, written as CIF:
```
data_ScTlPS2
_chemical_formula_sum 'Sc1 Tl1 P1 S2'
_cell_length_a 5.0219
_cell_length_b 5.0219
_cell_length_c 5.0170
_cell_angle_alpha 90.00
_cell_angle_beta 90.00
_cell_angle_gamma 90.00
_space_group_name_H-M_alt 'P 1'
_space_group_IT_number 1
loop_
_space_group_symop_operation_xyz
'x,y,z'
loop_
_atom_site_label
_atom_site_type_symbol
_atom_site_fract_x
_atom_site_fract_y
_atom_site_fract_z
_atom_site_occupancy
Sc1 Sc 0.0000 0.0000 0.0000 1
Tl1 Tl 0.5000 0.5000 0.5000 1
P1 P 0.5000 0.5000 0.0000 1
S1 S 0.0000 0.5000 0.5000 1
S2 S 0.5000 0.0000 0.5000 1
```